Compound: Ac3Cd5H12
Source: the Alexandria database
Functional: PBE
Structure: optimized geometry

POSCAR file:
```
Ac3Cd5H12
1.0
-6.855 6.855 6.855
6.855 -6.855 6.855
6.855 6.855 -6.855
Ac Cd H
12 20 48
Cartesian
3.427 1.714 0.000
6.855 3.427 -1.714
1.714 0.000 3.427
8.569 0.000 3.427
0.000 3.427 1.714
3.427 -1.714 6.855
3.427 8.569 0.000
6.855 3.427 5.141
-1.714 6.855 3.427
5.141 6.855 3.427
0.000 3.427 8.569
3.427 5.141 6.855
0.000 0.000 0.000
3.427 3.427 -3.427
3.427 -3.427 3.427
6.855 0.000 0.000
10.282 1.714 0.000
6.855 -3.427 5.141
5.141 6.855 -3.427
5.141 0.000 3.427
3.427 5.141 0.000
6.855 3.427 1.714
-3.427 3.427 3.427
0.000 6.855 0.000
0.000 0.000 6.855
3.427 3.427 3.427
0.000 3.427 5.141
3.427 1.714 6.855
1.714 6.855 3.427
1.714 0.000 10.282
0.000 10.282 1.714
-3.427 5.141 6.855
2.504 -0.437 1.031
7.779 4.458 -3.864
6.418 -1.031 2.504
9.359 0.437 1.031
7.779 -2.397 3.864
10.719 -0.924 2.397
1.031 2.504 -0.437
9.251 2.991 -0.924
4.458 3.864 -0.924
5.824 2.504 0.437
6.418 5.824 -2.504
3.864 0.924 2.397
-0.437 1.031 2.504
3.864 -0.924 4.458
4.458 -3.864 7.779
5.824 -2.504 6.418
2.397 3.864 0.924
7.886 4.351 0.437
2.504 6.418 -1.031
3.864 7.779 -2.397
6.418 1.031 4.351
7.779 2.397 2.991
0.924 2.397 3.864
2.504 0.437 5.824
4.351 6.418 1.031
5.931 4.458 2.991
-0.924 4.458 3.864
0.437 5.824 2.504
2.991 -0.924 9.251
4.351 0.437 7.886
-1.031 2.504 6.418
4.458 2.991 5.931
1.031 9.359 0.437
2.397 10.719 -0.924
2.991 7.779 2.397
7.292 5.824 4.351
2.991 5.931 4.458
0.437 1.031 9.359
1.031 4.351 6.418
2.397 2.991 7.779
-2.397 3.864 7.779
5.824 4.351 7.292
-3.864 7.779 4.458
-0.924 9.251 2.991
-2.504 6.418 5.824
0.437 7.886 4.351
-0.924 2.397 10.719
4.351 7.292 5.824
```

Output
Total magnetization, μB per cell: 0.00
Calculated total energy, eV/atom: -2.9321
Space-group type: Ia-3d
Density of states at the Fermi level, states/eV per cell: 15.64


Compound: Ac3CdH
Source: the Alexandria database
Functional: PBE
Structure: optimized geometry

POSCAR file:
```
Ac3CdH
1.0
5.389 0.000 0.000
0.000 5.389 0.000
0.000 0.000 5.389
Ac Cd H
3 1 1
Cartesian
0.000 0.000 2.694
0.000 2.694 0.000
2.694 0.000 0.000
2.694 2.694 2.694
0.000 0.000 0.000
```

Output
Total magnetization, μB per cell: 0.00
Calculated total energy, eV/atom: -3.4634
Space-group type: Pm-3m
Density of states at the Fermi level, states/eV per cell: 7.83


Compound: Ac2CdH
Source: the Alexandria database
Functional: PBE
Structure: optimized geometry

POSCAR file:
```
Ac2CdH
1.0
3.476 -2.005 0.000
3.476 2.005 0.000
-2.341 0.000 8.342
Ac Cd H
2 1 1
Cartesian
0.000 0.000 0.000
-0.024 0.000 5.219
2.306 0.000 2.600
2.295 0.000 6.760
```

Output
Total magnetization, μB per cell: 0.00
Calculated total energy, eV/atom: -3.3140
Space-group type: Cm
Density of states at the Fermi level, states/eV per cell: 2.92